Material: Tb2SmDy3Sb6
Method: DFT, GGA-PBE
State: relaxed

Geometry as extended XYZ:
```
12
Lattice="4.4047 0.0000 0.0000 0.0000 8.8023 0.3192 -2.2024 -2.5303 9.2576" Properties=species:S:1:pos:R:3 pbc="T T T"
Tb 2.2024 4.1822 6.3793
Tb 0.0000 2.0898 3.1975
Sm 2.2024 0.0000 0.0000
Dy 2.2024 4.4011 0.1596
Dy 2.2024 -0.2168 6.2335
Dy 0.0000 6.4887 3.3433
Sb 0.0000 6.3914 6.4368
Sb 2.2024 4.2962 3.2669
Sb 2.2024 -0.1195 3.1400
Sb 2.2024 -0.2957 9.3385
Sb 0.0000 6.5676 0.2383
Sb 0.0000 1.9757 6.3099
```

Values from the calculation:
* formation energy without anion corrections: -1.144 eV per atom
* space group: C2/m (12)
* density of states at the Fermi level: 1.91 states/eV/f.u.